DFT (PBE) results for a relaxed structure of LiNiPd.

Spin magnetization = 0.70 μB per formula unit
Formation energy from the elements = -0.091 eV/atom
Energy relative to the lowest polymorph listed for this composition = 32.5 meV/atom
Density = 7.39 g/cm³

Cell: 2.6147 4.1313 4.1313 Å, 120.00 90.00 90.00°
Last column: nearest neighbours and their distance in Å.
Fractional coordinates of all 3 atoms:
Ni: 0.2577 0.6667 0.3333  3 Li 2.45, 2 Ni 2.61, 3 Pd 2.64
Pd: 0.6909 0.3333 0.6667  3 Li 2.56, 2 Pd 2.61, 6 Ni 2.64-2.81
Li: 0.0514 0.0000 0.0000  3 Ni 2.45, 3 Pd 2.56, 2 Li 2.61

=====

DFT (PBE) results for a relaxed structure of Mn2FeCu.

Spin magnetization = 5.27 μB per formula unit
Formation energy from the elements = 0.226 eV/atom
Energy relative to the lowest polymorph listed for this composition = 116.8 meV/atom
Density = 8.26 g/cm³

Cell: 2.4493 2.4493 8.2345 Å, 90.00 90.00 111.08°
Last column: nearest neighbours and their distance in Å.
Fractional coordinates of all 4 atoms:
Mn: 0.0000 0.0000 0.5077  2 Fe 2.43, 4 Mn 2.45, 2 Cu 2.53
Cu: 0.5000 0.5000 0.2500  4 Cu 2.45, 4 Mn 2.53
Fe: 0.5000 0.5000 0.7500  4 Mn 2.43, 4 Fe 2.45
Mn: 0.0000 0.0000 0.9923  2 Fe 2.43, 4 Mn 2.45, 2 Cu 2.53